# 1
This record from the Alexandria database describes an optimized crystal structure of Ho2OsRu3. The functional is GGA-PBE.

```
Ho2OsRu3
1.0
5.2977 0.0000 0.0000
-2.6489 4.5880 0.0000
0.0000 0.0000 8.7756
Ho Os Ru
4 2 6
Direct
0.3333 0.6667 0.0655
0.3333 0.6667 0.4345
0.6667 0.3333 0.5655
0.6667 0.3333 0.9345
0.0000 0.0000 0.0000
0.0000 0.0000 0.5000
0.1718 0.3435 0.7500
0.1718 0.8282 0.7500
0.3435 0.1718 0.2500
0.6565 0.8282 0.7500
0.8282 0.1718 0.2500
0.8282 0.6565 0.2500
```

The raw total energy comes out at -8.367 eV per atom. The value obtained for the energy relative to the elements is -1.99 eV per formula unit.

# 2
This record from the Alexandria database describes an optimized crystal structure of Ho6OsRu2. The functional is GGA-PBE.

```
Ho6OsRu2
1.0
0.0000 6.4702 7.1839
2.3960 0.0000 7.1839
2.3960 6.4702 0.0000
Ho Os Ru
6 1 2
Direct
0.1268 0.8732 0.1268
0.2069 0.4605 0.5395
0.4605 0.2069 0.7931
0.5395 0.7931 0.2069
0.7931 0.5395 0.4605
0.8732 0.1268 0.8732
0.5000 0.5000 0.5000
0.1674 0.1674 0.8326
0.8326 0.8326 0.1674
```

The raw total energy comes out at -6.691 eV per atom. The value obtained for the energy relative to the elements is -2.97 eV per formula unit.

# 3
This record from the Alexandria database describes an optimized crystal structure of HoSi2OsRu. The functional is GGA-PBE.

```
HoSi2OsRu
1.0
-2.0879 2.0879 4.7820
2.0879 -2.0879 4.7820
2.0879 2.0879 -4.7820
Ho Si Os Ru
1 2 1 1
Direct
0.0000 0.0000 0.0000
0.3707 0.3707 0.0000
0.6293 0.6293 0.0000
0.7500 0.2500 0.5000
0.2500 0.7500 0.5000
```

The raw total energy comes out at -8.008 eV per atom.

# 4
This record from the Alexandria database describes an optimized crystal structure of HoTaOsRu. The functional is GGA-PBE.

```
HoTaOsRu
1.0
0.0000 3.2690 3.2690
3.2690 0.0000 3.2690
3.2690 3.2690 0.0000
Ho Ta Os Ru
1 1 1 1
Direct
0.0000 0.0000 0.0000
0.5000 0.5000 0.5000
0.7500 0.7500 0.7500
0.2500 0.2500 0.2500
```

The raw total energy comes out at -9.559 eV per atom. The value obtained for the energy relative to the elements is -1.30 eV per formula unit.

# 5
This record from the Alexandria database describes an optimized crystal structure of HoTaOsRu. The functional is GGA-PBE.

```
HoTaOsRu
1.0
3.2100 0.0000 0.0000
0.0000 3.2100 0.0000
0.0000 0.0000 6.8918
Ho Ta Os Ru
1 1 1 1
Direct
0.0000 0.0000 0.0000
0.0000 0.0000 0.4989
0.5000 0.5000 0.7194
0.5000 0.5000 0.2781
```

The raw total energy comes out at -9.625 eV per atom. The value obtained for the energy relative to the elements is -1.56 eV per formula unit.

# 6
This record from the Alexandria database describes an optimized crystal structure of HoThOsRu. The functional is GGA-PBE.

```
HoThOsRu
1.0
0.0000 3.4799 3.4799
3.4799 0.0000 3.4799
3.4799 3.4799 0.0000
Ho Th Os Ru
1 1 1 1
Direct
0.0000 0.0000 0.0000
0.5000 0.5000 0.5000
0.7500 0.7500 0.7500
0.2500 0.2500 0.2500
```

The raw total energy comes out at -8.438 eV per atom. The value obtained for the energy relative to the elements is -1.25 eV per formula unit.